1.
Computed, not measured: HfNb2OsF after structural relaxation at the PBE-GGA level of DFT.

Cell lengths 4.862, 4.862, 5.115 Å; angles 90.00, 90.00, 90.00 degrees
Positions (direct):
Hf 0.000 0.000 0.000
Nb 0.000 0.500 0.500
Nb 0.500 0.000 0.500
Os 0.000 0.000 0.500
F 0.500 0.500 0.000

Computed properties:
Space group = P4/mmm, No. 123
E = -7.915 eV per atom
Fermi-level density of states = 5.17 states/eV/f.u.
Raw formation energy = 3.6 eV/f.u.

2.
Computed, not measured: ScTlSn after structural relaxation at the PBE-GGA level of DFT.

Cell lengths 4.622, 4.501, 7.403 Å; angles 90.00, 108.07, 90.00 degrees
Positions (direct):
Sc 0.149 0.000 0.293
Sc 0.851 0.000 0.707
Tl 0.322 0.500 0.645
Tl 0.678 0.500 0.355
Sn 0.000 0.500 0.000
Sn 0.500 0.000 0.000

Computed properties:
Space group = P2/m, No. 10
Calculated formation energy = -264 meV per atom
E = -4.497 eV per atom
Energy above the most stable polymorph in this dataset = 18 meV per atom
Fermi-level density of states = 1.86 states/eV/f.u.

3.
Computed, not measured: Ge3PtN after structural relaxation at the PBE-GGA level of DFT.

Cell lengths 4.813, 4.813, 4.813 Å; angles 90.00, 90.00, 90.00 degrees
Positions (direct):
Ge 0.000 0.000 0.500
Ge 0.000 0.500 0.000
Ge 0.500 0.000 0.000
Pt 0.000 0.000 0.000
N 0.500 0.500 0.500

Computed properties:
Space group = Pm-3m, No. 221
E = -4.388 eV per atom
Energy above the most stable polymorph in this dataset = 747 meV per atom
Fermi-level density of states = 2.35 states/eV/f.u.
Raw formation energy = 6.3 eV/f.u.

4.
Computed, not measured: Ce3Sm3TmS8 after structural relaxation at the PBE-GGA level of DFT.

Cell lengths 8.036, 8.036, 8.036 Å; angles 59.64, 59.64, 59.64 degrees
Positions (direct):
Ce 0.000 0.500 0.500
Ce 0.500 0.000 0.500
Ce 0.500 0.500 0.000
Sm 0.000 0.000 0.500
Sm 0.000 0.500 0.000
Sm 0.500 0.000 0.000
Tm 0.500 0.500 0.500
S 0.249 0.249 0.249
S 0.256 0.742 0.742
S 0.258 0.258 0.744
S 0.258 0.744 0.258
S 0.742 0.256 0.742
S 0.742 0.742 0.256
S 0.744 0.258 0.258
S 0.751 0.751 0.751

Computed properties:
Space group = R-3m, No. 166
E = -6.681 eV per atom
Fermi-level density of states = 19.05 states/eV/f.u.
Raw formation energy = -30.8 eV/f.u.

5.
Computed, not measured: Ce3Pu2In2 after structural relaxation at the PBE-GGA level of DFT.

Cell lengths 15.089, 3.333, 7.994 Å; angles 90.00, 113.64, 90.00 degrees
Positions (direct):
Ce 0.000 0.000 0.000
Ce 0.228 0.500 0.148
Ce 0.272 0.000 0.852
Ce 0.500 0.500 0.000
Ce 0.728 0.000 0.148
Ce 0.772 0.500 0.852
Pu 0.145 0.000 0.416
Pu 0.355 0.500 0.584
Pu 0.645 0.500 0.416
Pu 0.855 0.000 0.584
In 0.065 0.500 0.704
In 0.435 0.000 0.296
In 0.565 0.000 0.704
In 0.935 0.500 0.296

Computed properties:
Space group = C2/m, No. 12
Calculated formation energy = -84 meV per atom
E = -7.505 eV per atom
Energy above the most stable polymorph in this dataset = 91 meV per atom
Fermi-level density of states = 21.76 states/eV/f.u.

6.
Computed, not measured: BeMoPt after structural relaxation at the PBE-GGA level of DFT.

Cell lengths 2.754, 5.428, 5.822 Å; angles 72.21, 87.26, 76.44 degrees
Positions (direct):
Be 0.000 0.000 0.000
Be 0.237 0.505 0.083
Mo 0.637 0.786 0.746
Mo 0.890 0.155 0.389
Pt 0.341 0.333 0.739
Pt 0.609 0.718 0.298

Computed properties:
Space group = P1, No. 1
Calculated formation energy = -210 meV per atom
E = -7.076 eV per atom
Energy above the most stable polymorph in this dataset = 197 meV per atom
Fermi-level density of states = 1.35 states/eV/f.u.

7.
Computed, not measured: KMnBe after structural relaxation at the PBE-GGA level of DFT.

Cell lengths 3.076, 3.076, 7.421 Å; angles 90.00, 90.00, 120.00 degrees
Positions (direct):
K 0.000 0.000 0.000
Mn 0.667 0.333 0.419
Be 0.333 0.667 0.632

Computed properties:
Space group = P3m1, No. 156
Calculated formation energy = 1039 meV per atom
E = -3.626 eV per atom
Energy above the most stable polymorph in this dataset = 355 meV per atom
Fermi-level density of states = 2.42 states/eV/f.u.

8.
Computed, not measured: Sr2ZnPd6Pb after structural relaxation at the PBE-GGA level of DFT.

Cell lengths 6.791, 6.791, 8.886 Å; angles 129.04, 129.04, 49.14 degrees
Positions (direct):
Sr 0.028 0.028 0.270
Sr 0.972 0.972 0.730
Zn 0.500 0.500 0.000
Pd 0.013 0.501 0.753
Pd 0.332 0.332 0.079
Pd 0.499 0.987 0.247
Pd 0.501 0.013 0.753
Pd 0.668 0.668 0.921
Pd 0.987 0.499 0.247
Pb 0.500 0.500 0.500

Computed properties:
Space group = C2/m, No. 12
Calculated formation energy = -450 meV per atom
E = -4.400 eV per atom
Fermi-level density of states = 3.26 states/eV/f.u.

9.
Computed, not measured: Na3Er3InS8 after structural relaxation at the PBE-GGA level of DFT.

Cell lengths 7.813, 7.813, 8.127 Å; angles 118.79, 118.79, 59.94 degrees
Positions (direct):
Na 0.000 0.000 0.000
Na 0.000 0.500 0.000
Na 0.500 0.000 0.000
Er 0.000 0.500 0.500
Er 0.500 0.000 0.500
Er 0.500 0.500 0.500
In 0.000 0.000 0.500
S 0.238 0.238 0.722
S 0.238 0.746 0.722
S 0.254 0.762 0.278
S 0.258 0.258 0.275
S 0.742 0.742 0.725
S 0.746 0.238 0.722
S 0.762 0.254 0.278
S 0.762 0.762 0.278

Computed properties:
Space group = C2/m, No. 12
E = -5.044 eV per atom
Fermi-level density of states = 11.81 states/eV/f.u.
Raw formation energy = -22.3 eV/f.u.

10.
Computed, not measured: ZrTlSb2 after structural relaxation at the PBE-GGA level of DFT.

Cell lengths 3.166, 4.935, 14.961 Å; angles 90.00, 90.00, 90.00 degrees
Positions (direct):
Zr 0.000 0.000 0.000
Zr 0.500 0.500 0.500
Tl 0.000 0.500 0.287
Tl 0.500 0.000 0.787
Sb 0.000 0.000 0.463
Sb 0.000 0.500 0.672
Sb 0.500 0.000 0.172
Sb 0.500 0.500 0.963

Computed properties:
Space group = Imm2, No. 44
E = -4.957 eV per atom
Energy above the most stable polymorph in this dataset = 114 meV per atom
Fermi-level density of states = 1.81 states/eV/f.u.
Raw formation energy = -0.7 eV/f.u.

11.
Computed, not measured: CaNiC after structural relaxation at the PBE-GGA level of DFT.

Cell lengths 3.701, 3.952, 6.781 Å; angles 101.27, 105.24, 90.33 degrees
Positions (direct):
Ca 0.125 0.416 0.240
Ca 0.875 0.584 0.760
Ni 0.309 0.035 0.624
Ni 0.691 0.965 0.376
C 0.453 0.048 0.910
C 0.547 0.952 0.090

Computed properties:
Space group = P-1, No. 2
Calculated formation energy = -76 meV per atom
E = -5.745 eV per atom
Energy above the most stable polymorph in this dataset = 0 meV per atom
Fermi-level density of states = 1.86 states/eV/f.u.

12.
Computed, not measured: NaTl2SnBr6 after structural relaxation at the PBE-GGA level of DFT.

Cell lengths 7.628, 8.165, 13.364 Å; angles 90.00, 124.18, 90.00 degrees
Positions (direct):
Na 0.000 0.000 0.000
Na 0.000 0.500 0.500
Tl 0.221 0.084 0.751
Tl 0.221 0.416 0.251
Tl 0.779 0.584 0.749
Tl 0.779 0.916 0.249
Sn 0.500 0.000 0.500
Sn 0.500 0.500 0.000
Br 0.149 0.186 0.451
Br 0.149 0.314 0.951
Br 0.271 0.706 0.450
Br 0.271 0.794 0.950
Br 0.362 0.023 0.256
Br 0.362 0.477 0.756
Br 0.638 0.523 0.244
Br 0.638 0.977 0.744
Br 0.729 0.206 0.050
Br 0.729 0.294 0.550
Br 0.851 0.686 0.049
Br 0.851 0.814 0.549

Computed properties:
Space group = P2_1/c, No. 14
E = -2.912 eV per atom
Fermi-level density of states = 5.89 states/eV/f.u.
Raw formation energy = -9.0 eV/f.u.

Look up the Fermi-level density of states of the fourth one. 19.05 states/eV/f.u.

What is the Fermi-level density of states in the seventh record? 2.42 states/eV/f.u.

Fermi-level density of states of number 12 (NaTl2SnBr6)? 5.89 states/eV/f.u.

Among the records above, which one has the highest Fermi-level density of states? Ce3Pu2In2